Below is crystalline TaB4Ir at its relaxed geometry, with properties calculated at the PBE-GGA level.

Output
E above lowest polymorph	0.0246	eV per atom
total energy	-47.95	eV per formula unit
M_tot	0.01	μB/cell

Unit cell a=4.681 b=4.681 c=4.681 alpha=142.13 beta=114.09 gamma=78.60
Element x y z (fractional)
Ta 0.000 0.000 0.000
B 0.057 0.736 0.321
B 0.415 0.736 0.679
B 0.585 0.264 0.321
B 0.943 0.264 0.679
Ir 0.500 0.500 0.000